Entry from the Alexandria database: a relaxed structure of K2TiInF6 (PBE).

Cell: 6.5506 6.5322 6.2656 Å, 58.03 58.10 59.71°
Site moments in Bohr magnetons follow the coordinates.
Atoms (fractional coordinates):
1 F 0.2016 0.0089 0.2857  0.00
2 F 0.1234 0.4276 0.8254  0.00
3 F 0.5089 0.2047 0.2776  0.00
4 F 0.0093 0.5116 0.2801  0.00
5 F 0.6230 0.1207 0.8229  0.00
6 F 0.4307 0.6235 0.8173  0.00
7 In 0.8162 0.8161 0.5516  0.00
8 Ti 0.3162 0.3162 0.0515  0.90
9 K 0.5554 0.5521 0.3417  0.00
10 K 0.0769 0.0801 0.7614  0.00

Properties
- Energy: -5.21 eV/atom
- E_form (uncorrected): -2.802 eV per atom
- Space-group type: No. 2
- Magnetic moment: 1.000 μB/f.u.


Entry from the Alexandria database: a relaxed structure of Ac2DyMg6 (PBE).

Cell: 3.5767 9.2948 9.2948 Å, 59.99 90.00 90.00°
Atoms (fractional coordinates):
1 Ac 0.0000 0.6667 0.6667
2 Ac 0.0000 0.3333 0.3333
3 Mg 0.5000 0.3234 0.6766
4 Mg 0.4999 0.0000 0.6767
5 Mg 0.5001 0.3233 0.0000
6 Mg 0.5000 0.6766 0.3234
7 Mg 0.4999 0.6767 0.0000
8 Mg 0.5001 0.0000 0.3233
9 Dy 0.0000 0.0000 0.0000

Properties
- Energy: -2.54 eV/atom
- ΔH_f (0 K): -0.048 eV per atom
- Space-group type: No. 191
- Magnetic moment: 0.001 μB/f.u.


Entry from the Alexandria database: a relaxed structure of PrEuCdIr (PBE).

Cell: 5.2148 5.2148 5.2148 Å, 60.00 60.00 60.00°
Site moments in Bohr magnetons follow the coordinates.
Atoms (fractional coordinates):
1 Eu 0.5000 0.5000 0.5000  6.77
2 Cd 0.7500 0.7500 0.7500  0.01
3 Pr 0.0000 0.0000 0.0000  0.02
4 Ir 0.2500 0.2500 0.2500  -0.11

Properties
- Energy: -6.54 eV/atom
- ΔH_f (0 K): -0.329 eV per atom
- Space-group type: No. 216
- Magnetic moment: 6.961 μB/f.u.


Entry from the Alexandria database: a relaxed structure of ZrSb2Te (PBE).

Cell: 3.1067 3.1067 12.2683 Å, 90.00 90.00 90.00°
Atoms (fractional coordinates):
1 Sb 0.0000 0.0000 0.5621
2 Sb 0.0000 0.0000 0.9379
3 Zr 0.5000 0.5000 0.7500
4 Te 0.5000 0.5000 0.2500

Properties
- Energy: -5.19 eV/atom
- E_form (uncorrected): -0.208 eV per atom
- Space-group type: No. 123
- Magnetic moment: 0.000 μB/f.u.


> What is the formula in the first record?

K2TiInF6


> What is the formula in the first record?

K2TiInF6


Copy entry 3 word for word.
Entry from the Alexandria database: a relaxed structure of PrEuCdIr (PBE).

Cell: 5.2148 5.2148 5.2148 Å, 60.00 60.00 60.00°
Site moments in Bohr magnetons follow the coordinates.
Atoms (fractional coordinates):
1 Eu 0.5000 0.5000 0.5000  6.77
2 Cd 0.7500 0.7500 0.7500  0.01
3 Pr 0.0000 0.0000 0.0000  0.02
4 Ir 0.2500 0.2500 0.2500  -0.11

Properties
- Energy: -6.54 eV/atom
- ΔH_f (0 K): -0.329 eV per atom
- Space-group type: No. 216
- Magnetic moment: 6.961 μB/f.u.


> Among the records above, which one has the lowest magnetic moment?

ZrSb2Te